1.
Pu4Cu3O12: optimized geometry, PBE.

Cell: 8.0147 8.0147 8.0147 Å, 90.00 90.00 90.00°
Closest atoms and distances in Å follow each position.
Space group Im-3 (No. 204)
Asymmetric unit:
Pu 0.2500 0.2500 0.2500  6 O 2.16
Cu 0.0000 0.0000 0.5000  4 O 2.02
O 0.0000 0.1737 0.3174  1 Cu 2.02, 2 Pu 2.16

Values from the calculation:
* energy relative to the elements, uncorrected: -2153 meV/atom
* E: -8.95 eV/atom
* size of the total moment: 11.0 μB/f.u.

---

2.
RbReAsSe2: optimized geometry, PBE.

Cell: 5.4197 5.4197 5.3066 Å, 90.00 90.00 90.00°
Closest atoms and distances in Å follow each position.
Space group P4/mmm (No. 123)
Asymmetric unit:
Rb 0.0000 0.0000 0.0000  2 As 2.65, 4 Se 2.71
Re 0.5000 0.5000 0.5000  8 Se 3.79, 4 As 3.83
As 0.0000 0.0000 0.5000  2 Rb 2.65
Se 0.0000 0.5000 0.0000  2 Rb 2.71

Values from the calculation:
* energy relative to the elements, uncorrected: 2727 meV/atom
* energy above the lowest structure with this stoichiometry: 2695 meV per atom
* E: -2.28 eV/atom
* size of the total moment: 0.0 μB/f.u.

---

3.
TbCuAs2: optimized geometry, PBE.

Cell: 3.9274 3.9274 9.8699 Å, 90.00 90.00 90.00°
Closest atoms and distances in Å follow each position.
Space group P4/nmm (No. 129, origin choice 2)
Asymmetric unit:
Tb 0.2500 0.2500 0.2369  8 As 2.96-3.05, 4 Cu 3.26
Cu 0.2500 0.7500 0.5000  4 As 2.51, 4 Cu 2.78
As 0.2500 0.2500 0.6591  4 Cu 2.51
As 0.2500 0.7500 0.0000  4 As 2.78, 4 Tb 3.05

Values from the calculation:
* DFT formation energy: -0.830 eV per atom
* E: -5.34 eV/atom
* size of the total moment: 0.0 μB/f.u.

---

4.
K2TlVI6: optimized geometry, PBE.

Cell: 8.5016 8.5016 21.0668 Å, 90.00 90.00 120.00°
Closest atoms and distances in Å follow each position.
Space group R3 (No. 146, hexagonal axes)
Asymmetric unit:
K 0.0000 0.0000 0.0000  6 I 3.57-3.66
K 0.0000 0.0000 0.4871  6 I 3.52-3.70
Tl 0.0000 0.0000 0.2782  6 I 3.40-3.55
V 0.0000 0.0000 0.7853  6 I 2.79-2.81
I 0.0406 0.7555 0.8638  1 V 2.81
I 0.0914 0.3743 0.3768  1 V 2.79

Values from the calculation:
* energy relative to the elements, uncorrected: -861 meV/atom
* E: -3.16 eV/atom
* size of the total moment: 2.0 μB/f.u.

---

5.
CaBi12Rh6: optimized geometry, PBE.

Cell: 13.5841 13.5841 9.3191 Å, 90.00 90.00 120.00°
Closest atoms and distances in Å follow each position.
Space group R-3m (No. 166, hexagonal axes)
Asymmetric unit:
Ca 0.0000 0.0000 0.0000  6 Bi 3.73
Bi 0.0000 0.3814 0.5000  4 Rh 2.81-2.89
Bi 0.0886 0.1773 0.3316  2 Rh 2.78-3.08
Rh 0.0220 0.5110 0.2445  6 Bi 2.78-3.08

Values from the calculation:
* DFT formation energy: -0.074 eV per atom
* E: -4.95 eV/atom
* size of the total moment: 0.0 μB/f.u.

---

6.
Y2NbTlSb: optimized geometry, PBE.

Cell: 5.4954 5.4954 5.3241 Å, 90.00 90.00 90.00°
Closest atoms and distances in Å follow each position.
Space group P4/mmm (No. 123)
Asymmetric unit:
Y 0.0000 0.5000 0.0000  2 Nb 2.75
Nb 0.0000 0.0000 0.0000  2 Sb 2.66, 4 Y 2.75
Tl 0.5000 0.5000 0.5000  8 Y 3.83, 4 Sb 3.89
Sb 0.0000 0.0000 0.5000  2 Nb 2.66

Values from the calculation:
* energy relative to the elements, uncorrected: 253 meV/atom
* E: -5.64 eV/atom
* size of the total moment: 0.0 μB/f.u.

---

7.
TaRe2Pt: optimized geometry, PBE.

Cell: 2.8179 2.8179 27.8731 Å, 90.00 90.00 120.00°
Closest atoms and distances in Å follow each position.
Space group R3m (No. 160, hexagonal axes)
Asymmetric unit:
Ta 0.0000 0.0000 0.0000  6 Ta 2.82, 3 Pt 2.83, 3 Re 2.95
Re 0.0000 0.0000 0.4976  9 Re 2.67-2.82, 3 Pt 2.90
Re 0.0000 0.0000 0.7549  9 Re 2.67-2.82, 3 Ta 2.95
Pt 0.0000 0.0000 0.2502  6 Pt 2.82, 3 Ta 2.83, 3 Re 2.90

Values from the calculation:
* DFT formation energy: -0.086 eV per atom
* energy above the lowest structure with this stoichiometry: 193 meV per atom
* E: -10.78 eV/atom
* size of the total moment: 0.0 μB/f.u.

---

8.
LiHg2Se: optimized geometry, PBE.

Cell: 5.0440 5.0440 7.1835 Å, 90.00 90.00 90.00°
Closest atoms and distances in Å follow each position.
Space group I-4m2 (No. 119)
Asymmetric unit:
Li 0.0000 0.0000 0.0000  4 Hg 3.10, 4 Se 3.10
Hg 0.0000 0.0000 0.5000  4 Hg 3.10, 4 Se 3.10
Hg 0.0000 0.5000 0.2500  4 Hg 3.10, 4 Li 3.10
Se 0.0000 0.5000 0.7500  4 Hg 3.10, 4 Li 3.10

Values from the calculation:
* energy relative to the elements, uncorrected: -227 meV/atom
* E: -1.73 eV/atom
* size of the total moment: 0.0 μB/f.u.

---

9.
ReHg2Te: optimized geometry, PBE.

Cell: 3.1849 3.1849 9.3452 Å, 90.00 90.00 90.00°
Closest atoms and distances in Å follow each position.
Space group P4mm (No. 99)
Asymmetric unit:
Re 0.0000 0.0000 0.0000  4 Te 2.71, 4 Hg 2.98
Hg 0.0000 0.0000 0.5119  8 Hg 3.18-3.44
Hg 0.5000 0.5000 0.7907  4 Re 2.98, 4 Hg 3.18
Te 0.5000 0.5000 0.1622  4 Re 2.71

Values from the calculation:
* energy relative to the elements, uncorrected: 405 meV/atom
* energy above the lowest structure with this stoichiometry: 0 meV per atom
* E: -3.64 eV/atom
* size of the total moment: 0.0 μB/f.u.

---

10.
Hf3P: optimized geometry, PBE.

Cell: 3.2359 3.2606 8.2685 Å, 90.00 90.00 90.00°
Closest atoms and distances in Å follow each position.
Space group Pmm2 (No. 25)
Asymmetric unit:
Hf 0.0000 0.0000 0.0000  10 Hf 3.10-3.33
Hf 0.0000 0.5000 0.3518  4 P 2.60
Hf 0.5000 0.5000 0.7476  2 P 2.63
P 0.5000 0.0000 0.4986  6 Hf 2.60-2.63

Values from the calculation:
* DFT formation energy: -0.276 eV per atom
* energy above the lowest structure with this stoichiometry: 520 meV per atom
* E: -9.09 eV/atom
* size of the total moment: 0.0 μB/f.u.

---

11.
Tm2MgFe: optimized geometry, PBE.

Cell: 13.0242 3.7147 7.8020 Å, 90.00 94.97 90.00°
Closest atoms and distances in Å follow each position.
Space group C2/m (No. 12)
Asymmetric unit:
Tm 0.0376 0.0000 0.2866  4 Fe 2.79-2.84
Tm 0.2305 0.0000 0.6691  3 Fe 2.75-3.04
Mg 0.1304 0.5000 0.9549  1 Fe 3.18, 7 Tm 3.26-3.49, 1 Mg 3.53
Fe 0.0863 0.5000 0.5474  1 Fe 2.31

Values from the calculation:
* DFT formation energy: -0.046 eV per atom
* energy above the lowest structure with this stoichiometry: 7 meV per atom
* E: -4.80 eV/atom
* size of the total moment: 0.7 μB/f.u.

---

12.
PaAg4F10: optimized geometry, PBE.

Cell: 9.0690 9.0690 5.6690 Å, 90.00 90.00 90.00°
Closest atoms and distances in Å follow each position.
Space group I4/m (No. 87)
Asymmetric unit:
Pa 0.0000 0.0000 0.0000  8 F 2.23
Ag 0.0878 0.6879 0.5000  4 F 2.36-2.44
F 0.0000 0.5000 0.2500  4 Ag 2.36
F 0.1174 0.1618 0.2283  1 Pa 2.23, 1 Ag 2.44

Values from the calculation:
* energy relative to the elements, uncorrected: -2157 meV/atom
* E: -4.80 eV/atom
* size of the total moment: 1.1 μB/f.u.